1.
Cs3La3NdTe8 | PBE | relaxed Values from VASP.

Geometry as Quantum ESPRESSO input:
```
&SYSTEM
  ibrav = 0, nat = 15, ntyp = 4
/
ATOMIC_SPECIES
Cs 132.91 Cs.upf
La 138.91 La.upf
Nd 144.24 Nd.upf
Te 127.60 Te.upf
CELL_PARAMETERS angstrom
8.1255 -4.6856 0.0000
8.1255 4.6856 0.0000
-5.4235 0.0000 9.1049
ATOMIC_POSITIONS crystal
Cs 0.0000 0.0000 0.0000
Cs 0.0000 0.5000 0.0000
Cs 0.5000 0.0000 0.0000
La 0.0000 0.5000 0.5000
La 0.5000 0.0000 0.5000
La 0.5000 0.5000 0.5000
Nd 0.0000 0.0000 0.5000
Te 0.2291 0.2291 0.6927
Te 0.2291 0.7346 0.6928
Te 0.2654 0.7709 0.3072
Te 0.2677 0.2677 0.3032
Te 0.7323 0.7323 0.6968
Te 0.7346 0.2291 0.6928
Te 0.7709 0.2654 0.3072
Te 0.7709 0.7709 0.3073
```

## Properties
The crystal system is monoclinic. Its symmetry is C2/m (12). Its total energy is -4.5441 eV/atom. The calculation puts the spin magnetization at 0.00 μB per formula unit. For the uncorrected formation energy, the calculation gives -1.3945 eV/atom.


2.
FeNiTeN2 | PBE | relaxed Values from VASP.

Geometry as Quantum ESPRESSO input:
```
&SYSTEM
  ibrav = 0, nat = 5, ntyp = 4
/
ATOMIC_SPECIES
Fe 55.84 Fe.upf
Ni 58.69 Ni.upf
Te 127.60 Te.upf
N 14.01 N.upf
CELL_PARAMETERS angstrom
3.5561 0.0000 0.0000
0.0000 3.5561 0.0000
0.0000 0.0000 5.6991
ATOMIC_POSITIONS crystal
Fe 0.0000 0.0000 0.0000
Ni 0.5000 0.5000 0.5000
Te 0.0000 0.0000 0.5000
N 0.0000 0.5000 0.0000
N 0.5000 0.0000 0.0000
```

## Properties
The crystal system is tetragonal. Its symmetry is P4/mmm (123). For the energy relative to the lowest polymorph listed for this composition, the calculation gives 0.0 meV/atom. Its total energy is -5.9940 eV/atom. The calculation puts the spin magnetization at 0.00 μB per formula unit. For the uncorrected formation energy, the calculation gives 0.8133 eV/atom.


3.
ReSi2Ir | PBE | relaxed Values from VASP.

Geometry as Quantum ESPRESSO input:
```
&SYSTEM
  ibrav = 0, nat = 4, ntyp = 3
/
ATOMIC_SPECIES
Re 186.21 Re.upf
Si 28.09 Si.upf
Ir 192.22 Ir.upf
CELL_PARAMETERS angstrom
4.4231 -1.4706 0.0000
4.4231 1.4706 0.0000
-1.2681 0.0000 4.1657
ATOMIC_POSITIONS crystal
Re 0.0000 0.0000 0.0000
Si 0.4915 0.4915 0.4737
Si 0.7436 0.7436 0.1133
Ir 0.2394 0.2394 0.5963
```

## Properties
The crystal system is monoclinic. Its symmetry is Cm (8). For the energy relative to the lowest polymorph listed for this composition, the calculation gives 16.1 meV/atom. Its total energy is -8.4054 eV/atom. The calculation puts the spin magnetization at 0.00 μB per formula unit. For the uncorrected formation energy, the calculation gives -0.3666 eV/atom.


4.
RbRhSe2 | PBE | relaxed Values from VASP.

Geometry as Quantum ESPRESSO input:
```
&SYSTEM
  ibrav = 0, nat = 16, ntyp = 3
/
ATOMIC_SPECIES
Rb 85.47 Rb.upf
Rh 102.91 Rh.upf
Se 78.96 Se.upf
CELL_PARAMETERS angstrom
7.7131 0.0000 0.0000
0.0000 4.8117 0.0000
0.0000 0.0000 11.4543
ATOMIC_POSITIONS crystal
Rb 0.1493 0.2500 0.1219
Rb 0.3507 0.7500 0.6219
Rb 0.6493 0.2500 0.3781
Rb 0.8507 0.7500 0.8781
Rh 0.0552 0.7500 0.3725
Rh 0.4448 0.2500 0.8725
Rh 0.5552 0.7500 0.1275
Rh 0.9448 0.2500 0.6275
Se 0.1024 0.2500 0.4395
Se 0.1445 0.2500 0.7951
Se 0.3555 0.7500 0.2951
Se 0.3976 0.7500 0.9395
Se 0.6024 0.2500 0.0605
Se 0.6445 0.2500 0.7049
Se 0.8555 0.7500 0.2049
Se 0.8976 0.7500 0.5605
```

## Properties
The crystal system is orthorhombic. Its symmetry is Pnma (62). Its total energy is -4.4197 eV/atom. The calculation puts the spin magnetization at 0.00 μB per formula unit. For the uncorrected formation energy, the calculation gives -0.5977 eV/atom.


5.
CaAg2Cl | PBE | relaxed Values from VASP.

Geometry as Quantum ESPRESSO input:
```
&SYSTEM
  ibrav = 0, nat = 4, ntyp = 3
/
ATOMIC_SPECIES
Ca 40.08 Ca.upf
Ag 107.87 Ag.upf
Cl 35.45 Cl.upf
CELL_PARAMETERS angstrom
-2.5230 2.5230 3.5820
2.5230 -2.5230 3.5820
2.5230 2.5230 -3.5820
ATOMIC_POSITIONS crystal
Ca 0.0000 0.0000 0.0000
Ag 0.5000 0.5000 0.0000
Ag 0.7500 0.2500 0.5000
Cl 0.2500 0.7500 0.5000
```

## Properties
The crystal system is tetragonal. Its symmetry is I-4m2 (119). For the energy relative to the lowest polymorph listed for this composition, the calculation gives 234.8 meV/atom. Its total energy is -2.8481 eV/atom. The calculation puts the spin magnetization at 0.00 μB per formula unit. For the uncorrected formation energy, the calculation gives -0.4604 eV/atom.


6.
TmB2Ru | PBE | relaxed Values from VASP.

Geometry as Quantum ESPRESSO input:
```
&SYSTEM
  ibrav = 0, nat = 4, ntyp = 3
/
ATOMIC_SPECIES
Tm 168.93 Tm.upf
B 10.81 B.upf
Ru 101.07 Ru.upf
CELL_PARAMETERS angstrom
3.0230 -1.9118 0.0000
3.0230 1.9118 0.0000
-2.2569 0.0000 4.5612
ATOMIC_POSITIONS crystal
Tm 0.0000 0.0000 0.0000
B 0.1819 0.1819 0.6088
B 0.8181 0.8181 0.3912
Ru 0.5000 0.5000 0.5000
```

## Properties
The crystal system is monoclinic. The formation energy from the elements is -0.329 eV per atom. Its symmetry is C2/m (12). For the energy relative to the lowest polymorph listed for this composition, the calculation gives 323.9 meV/atom. Its total energy is -7.1046 eV/atom. The calculation puts the spin magnetization at 0.00 μB per formula unit.


7.
Sb2WCl | PBE | relaxed Values from VASP.

Geometry as Quantum ESPRESSO input:
```
&SYSTEM
  ibrav = 0, nat = 4, ntyp = 3
/
ATOMIC_SPECIES
Sb 121.76 Sb.upf
W 183.84 W.upf
Cl 35.45 Cl.upf
CELL_PARAMETERS angstrom
5.0694 -1.6109 0.0000
5.0694 1.6109 0.0000
-3.3508 0.0000 6.9106
ATOMIC_POSITIONS crystal
Sb 0.0000 0.0000 0.0000
Sb 0.2087 0.2087 0.7076
W 0.7245 0.7245 0.0177
Cl 0.3533 0.3533 0.2825
```

## Properties
The crystal system is monoclinic. Its symmetry is Cm (8). For the energy relative to the lowest polymorph listed for this composition, the calculation gives 2.4 meV/atom. Its total energy is -5.5904 eV/atom. The calculation puts the spin magnetization at 0.00 μB per formula unit. For the uncorrected formation energy, the calculation gives 0.1708 eV/atom.


8.
CuICl2 | PBE | relaxed Values from VASP.

Geometry as Quantum ESPRESSO input:
```
&SYSTEM
  ibrav = 0, nat = 8, ntyp = 3
/
ATOMIC_SPECIES
Cu 63.55 Cu.upf
I 126.90 I.upf
Cl 35.45 Cl.upf
CELL_PARAMETERS angstrom
4.5682 0.0000 0.0000
1.1094 5.5994 0.0000
1.9954 0.8199 10.7734
ATOMIC_POSITIONS crystal
Cu 0.0000 0.0000 0.0000
Cu 0.4997 0.4997 0.0001
I 0.1637 0.0011 0.4991
I 0.3548 0.4953 0.5030
Cl 0.1877 0.7052 0.8694
Cl 0.3108 0.7940 0.1309
Cl 0.6896 0.2061 0.8688
Cl 0.8092 0.2931 0.1315
```

## Properties
The crystal system is triclinic. Its symmetry is P1 (1). For the energy relative to the lowest polymorph listed for this composition, the calculation gives 0.0 meV/atom. Its total energy is -2.6844 eV/atom. The calculation puts the spin magnetization at 0.96 μB per formula unit. For the uncorrected formation energy, the calculation gives -0.3495 eV/atom.